! PBE Sr8Li2Pd, optimized geometry; values from VASP
! Offset from the most stable computed form (meV/atom): 20
! Magnetization (μB per cell): 0.0
! Symmetry: C2/m, No. 12
! Calculated formation energy (eV per atom): -0.070
&SYSTEM
  ibrav = 0, nat = 11, ntyp = 3
/
ATOMIC_SPECIES
Sr 87.62 Sr.upf
Li 6.94 Li.upf
Pd 106.42 Pd.upf
CELL_PARAMETERS angstrom
-2.6682 4.8424 2.7936
-5.2805 -4.7853 3.2514
9.3742 -1.6197 4.8931
ATOMIC_POSITIONS crystal
Sr 0.4120 0.5920 0.8240
Sr 0.6447 0.9574 0.2894
Sr 0.7940 0.7004 0.5879
Sr 0.9795 0.2115 0.9591
Sr 0.2060 0.2996 0.4121
Sr 0.3553 0.0426 0.7106
Sr 0.5880 0.4080 0.1760
Sr 0.0205 0.7885 0.0409
Li 0.8184 0.2808 0.6367
Li 0.1816 0.7192 0.3633
Pd 0.5000 0.0000 0.0000


! PBE Sr4Li2Pd, optimized geometry; values from VASP
! Offset from the most stable computed form (meV/atom): 86
! Magnetization (μB per cell): 0.0
! Symmetry: I4/mmm, No. 139
! Calculated formation energy (eV per atom): -0.094
&SYSTEM
  ibrav = 0, nat = 7, ntyp = 3
/
ATOMIC_SPECIES
Sr 87.62 Sr.upf
Pd 106.42 Pd.upf
Li 6.94 Li.upf
CELL_PARAMETERS angstrom
-3.8742 -3.9587 -1.9125
4.3064 -3.9303 -0.5882
-1.1170 -6.6462 7.0425
ATOMIC_POSITIONS crystal
Sr 0.8246 0.8246 0.3509
Sr 0.1754 0.1754 0.6491
Sr 0.0000 0.5000 0.0000
Sr 0.5000 0.0000 0.0000
Pd 0.0000 0.0000 0.0000
Li 0.6227 0.6227 0.7546
Li 0.3773 0.3773 0.2454


Which of these has the lowest offset from the most stable computed form? Sr8Li2Pd


Among the records above, which one has the lowest offset from the most stable computed form? Sr8Li2Pd


Please write out number 1 again, unchanged.
! PBE Sr8Li2Pd, optimized geometry; values from VASP
! Offset from the most stable computed form (meV/atom): 20
! Magnetization (μB per cell): 0.0
! Symmetry: C2/m, No. 12
! Calculated formation energy (eV per atom): -0.070
&SYSTEM
  ibrav = 0, nat = 11, ntyp = 3
/
ATOMIC_SPECIES
Sr 87.62 Sr.upf
Li 6.94 Li.upf
Pd 106.42 Pd.upf
CELL_PARAMETERS angstrom
-2.6682 4.8424 2.7936
-5.2805 -4.7853 3.2514
9.3742 -1.6197 4.8931
ATOMIC_POSITIONS crystal
Sr 0.4120 0.5920 0.8240
Sr 0.6447 0.9574 0.2894
Sr 0.7940 0.7004 0.5879
Sr 0.9795 0.2115 0.9591
Sr 0.2060 0.2996 0.4121
Sr 0.3553 0.0426 0.7106
Sr 0.5880 0.4080 0.1760
Sr 0.0205 0.7885 0.0409
Li 0.8184 0.2808 0.6367
Li 0.1816 0.7192 0.3633
Pd 0.5000 0.0000 0.0000